No. 1
GdPbCl2 after structural relaxation. Source: Alexandria via LeMat-Bulk, functional PBE.

abc: 10.5245 10.5245 10.5245
angles: 20.13 20.13 20.13
With the nearest neighbours (Å) after each atom.
Element x y z (fractional)
Gd 0.0000 0.0000 0.0000  2 Cl 2.59
Pb 0.5000 0.5000 0.5000  6 Cl 3.33, 6 Pb 3.68
Cl 0.0837 0.0837 0.0837  1 Gd 2.59
Cl 0.9163 0.9163 0.9163  1 Gd 2.59

Values from the calculation:
Calculated volume (Å³/f.u.): 120.86
Theoretical density (g/cm³): 5.98
Formation energy from raw total energies (eV/atom): -0.9249



No. 2
Gd2PbCl after structural relaxation. Source: Alexandria via LeMat-Bulk, functional PBE.

abc: 7.0065 7.0065 7.0065
angles: 37.10 37.10 37.10
With the nearest neighbours (Å) after each atom.
Element x y z (fractional)
Gd 0.2454 0.2454 0.2454  3 Cl 3.00, 3 Pb 3.09
Gd 0.7546 0.7546 0.7546  3 Cl 3.00, 3 Pb 3.09
Pb 0.0000 0.0000 0.0000  6 Gd 3.09
Cl 0.5000 0.5000 0.5000  6 Gd 3.00

Values from the calculation:
Calculated volume (Å³/f.u.): 112.14
Theoretical density (g/cm³): 8.25
Formation energy from raw total energies (eV/atom): -0.9154



No. 3
Pm3GdCl after structural relaxation. Source: Alexandria via LeMat-Bulk, functional PBE.

abc: 5.4337 5.4337 5.4337
angles: 90.00 90.00 90.00
With the nearest neighbours (Å) after each atom.
Element x y z (fractional)
Pm 0.0000 0.0000 0.5000  2 Cl 2.72
Pm 0.0000 0.5000 0.0000  2 Cl 2.72
Pm 0.5000 0.0000 0.0000  2 Cl 2.72
Gd 0.5000 0.5000 0.5000  12 Pm 3.84
Cl 0.0000 0.0000 0.0000  6 Pm 2.72

Values from the calculation:
Calculated volume (Å³/f.u.): 160.43
Theoretical density (g/cm³): 6.50
Formation energy from raw total energies (eV/atom): -0.4919